# 1
DFT (PBE) results for NpBeAsO6 after structural relaxation.

The space group is P-31c (No. 163) and the conventional cell measures 5.0492, 5.0492 and 9.1842 Å, with angles of 90.00, 90.00 and 120.00 degrees. The asymmetric unit holds Np at (0.3333, 0.6667, 0.2500), Be at (0.3333, 0.6667, 0.7500), As at (0.0000, 0.0000, 0.0000) and O at (0.0212, 0.3569, 0.6345).

As for the volume: 203 Å³ per cell. The value obtained for the formation energy without anion corrections is -1.86 eV per atom.


# 2
DFT (PBE) results for NpBeAsO after structural relaxation.

The space group is P4/nmm (No. 129, origin choice 2) and the conventional cell measures 3.847, 3.847 and 8.327 Å, with angles of 90.00, 90.00 and 90.00 degrees. The asymmetric unit holds Np at (0.250, 0.250, 0.152), Be at (0.250, 0.750, 0.500), As at (0.250, 0.250, 0.659) and O at (0.250, 0.750, 0.000).

As for the volume: 123 Å³ per cell. The value obtained for the formation energy without anion corrections is -1.41 eV per atom.


# 3
DFT (PBE) results for NpBeAsS after structural relaxation.

The space group is P4/nmm (No. 129, origin choice 2) and the conventional cell measures 4.277, 4.277 and 7.919 Å, with angles of 90.00, 90.00 and 90.00 degrees. The asymmetric unit holds Np at (0.250, 0.250, 0.207), Be at (0.250, 0.750, 0.500), As at (0.250, 0.250, 0.628) and S at (0.250, 0.750, 0.000).

As for the volume: 145 Å³ per cell. The value obtained for the formation energy without anion corrections is -0.59 eV per atom.


# 4
DFT (PBE) results for BeAsO4 after structural relaxation.

The space group is C2/m (No. 12) and the conventional cell measures 10.965, 2.786 and 4.797 Å, with angles of 90.00, 114.71 and 90.00 degrees. The asymmetric unit holds Be at (0.000, 0.000, 0.000), As at (0.000, 0.500, 0.500), O at (0.083, 0.500, 0.930) and O at (0.106, 0.000, 0.460).

As for the volume: 133 Å³ per cell. The value obtained for the formation energy without anion corrections is -1.20 eV per atom.


# 5
DFT (PBE) results for Be3AsO after structural relaxation.

The space group is Pm-3m (No. 221) and the conventional cell measures 4.121, 4.121 and 4.121 Å, with angles of 90.00, 90.00 and 90.00 degrees. The asymmetric unit holds Be at (0.000, 0.000, 0.500), As at (0.000, 0.000, 0.000) and O at (0.500, 0.500, 0.500).

As for the volume: 70 Å³ per cell. The relative energy among the computed polymorphs comes out at 5.89 eV per formula unit. The value obtained for the formation energy without anion corrections is 0.85 eV per atom.


# 6
DFT (PBE) results for BeAsO2 after structural relaxation.

The space group is I-42d (No. 122) and the conventional cell measures 4.643, 4.643 and 7.822 Å, with angles of 90.00, 90.00 and 90.00 degrees. The asymmetric unit holds Be at (0.000, 0.000, 0.000), As at (0.000, 0.000, 0.500) and O at (0.138, 0.250, 0.125).

As for the volume: 169 Å³ per cell. The relative energy among the computed polymorphs comes out at 0.25 eV per formula unit. The value obtained for the formation energy without anion corrections is -1.27 eV per atom.


# 7
DFT (PBE) results for BeAsO2 after structural relaxation.

The space group is R-3m (No. 166, hexagonal axes) and the conventional cell measures 2.7412, 2.7412 and 16.8460 Å, with angles of 90.00, 90.00 and 120.00 degrees. The asymmetric unit holds Be at (0.0000, 0.0000, 0.0000), As at (0.0000, 0.0000, 0.5000) and O at (0.0000, 0.0000, 0.3884).

As for the volume: 110 Å³ per cell. The relative energy among the computed polymorphs comes out at 0.00 eV per formula unit. The value obtained for the formation energy without anion corrections is -1.33 eV per atom.


# 8
DFT (PBE) results for Be2As2O7 after structural relaxation.

The space group is C2/c (No. 15) and the conventional cell measures 7.138, 8.028 and 9.356 Å, with angles of 90.00, 110.26 and 90.00 degrees. The asymmetric unit holds Be at (0.133, 0.147, 0.437), As at (0.231, 0.193, 0.793), O at (0.000, 0.301, 0.750), O at (0.097, 0.179, 0.087), O at (0.216, 0.004, 0.864) and O at (0.226, 0.320, 0.379).

As for the volume: 503 Å³ per cell. The value obtained for the formation energy without anion corrections is -1.67 eV per atom.


# 9
DFT (PBE) results for Be3AsO after structural relaxation.

The space group is Pm-3m (No. 221) and the conventional cell measures 3.680, 3.680 and 3.680 Å, with angles of 90.00, 90.00 and 90.00 degrees. The asymmetric unit holds Be at (0.000, 0.000, 0.500), As at (0.500, 0.500, 0.500) and O at (0.000, 0.000, 0.000).

As for the volume: 50 Å³ per cell. The relative energy among the computed polymorphs comes out at 0.00 eV per formula unit. The value obtained for the formation energy without anion corrections is -0.33 eV per atom.


# 10
DFT (PBE) results for BeAsO3 after structural relaxation.

The space group is Pm-3m (No. 221) and the conventional cell measures 3.469, 3.469 and 3.469 Å, with angles of 90.00, 90.00 and 90.00 degrees. The asymmetric unit holds Be at (0.000, 0.000, 0.000), As at (0.500, 0.500, 0.500) and O at (0.000, 0.000, 0.500).

As for the volume: 42 Å³ per cell. The value obtained for the formation energy without anion corrections is -0.75 eV per atom.


# 11
DFT (PBE) results for BeAsO3 after structural relaxation.

The space group is Pm-3m (No. 221) and the conventional cell measures 3.703, 3.703 and 3.703 Å, with angles of 90.00, 90.00 and 90.00 degrees. The asymmetric unit holds Be at (0.000, 0.000, 0.000), As at (0.500, 0.500, 0.500) and O at (0.000, 0.500, 0.500).

As for the volume: 51 Å³ per cell. The value obtained for the formation energy without anion corrections is -0.37 eV per atom.


# 12
DFT (PBE) results for BeAsO5 after structural relaxation.

The space group is Pca2_1 (No. 29) and the conventional cell measures 8.633, 4.436 and 8.923 Å, with angles of 90.00, 90.00 and 90.00 degrees. The asymmetric unit holds Be at (0.069, 0.080, 0.000), As at (0.069, 0.423, 0.683), O at (0.040, 0.269, 0.852), O at (0.066, 0.173, 0.536), O at (0.069, 0.293, 0.153), O at (0.230, 0.883, 0.976) and O at (0.243, 0.634, 0.684).

As for the volume: 342 Å³ per cell. The value obtained for the formation energy without anion corrections is -0.79 eV per atom.


# 13
DFT (PBE) results for BeAsO2 after structural relaxation.

The space group is Fm-3m (No. 225) and the conventional cell measures 5.422, 5.422 and 5.422 Å, with angles of 90.00, 90.00 and 90.00 degrees. The asymmetric unit holds Be at (0.000, 0.000, 0.000), As at (0.000, 0.000, 0.500) and O at (0.250, 0.250, 0.250).

As for the volume: 159 Å³ per cell. The relative energy among the computed polymorphs comes out at 5.01 eV per formula unit. The value obtained for the formation energy without anion corrections is -0.08 eV per atom.


# 14
DFT (PBE) results for BeAsO after structural relaxation.

The space group is Pca2_1 (No. 29) and the conventional cell measures 5.199, 8.558 and 4.853 Å, with angles of 90.00, 90.00 and 90.00 degrees. The asymmetric unit holds Be at (0.125, 0.000, 0.000), As at (0.227, 0.460, 0.659) and O at (0.125, 0.998, 0.674).

As for the volume: 216 Å³ per cell. The value obtained for the formation energy without anion corrections is -1.57 eV per atom.


# 15
DFT (PBE) results for BeAs3O after structural relaxation.

The space group is Pm-3m (No. 221) and the conventional cell measures 4.341, 4.341 and 4.341 Å, with angles of 90.00, 90.00 and 90.00 degrees. The asymmetric unit holds Be at (0.000, 0.000, 0.000), As at (0.000, 0.500, 0.500) and O at (0.500, 0.500, 0.500).

As for the volume: 82 Å³ per cell. The relative energy among the computed polymorphs comes out at 0.00 eV per formula unit. The value obtained for the formation energy without anion corrections is 0.58 eV per atom.


# 16
DFT (PBE) results for BeAsPO2 after structural relaxation.

The space group is P4/mmm (No. 123) and the conventional cell measures 3.464, 3.464 and 4.875 Å, with angles of 90.00, 90.00 and 90.00 degrees. The asymmetric unit holds Be at (0.000, 0.000, 0.000), As at (0.500, 0.500, 0.500), P at (0.000, 0.000, 0.500) and O at (0.000, 0.500, 0.000).

As for the volume: 59 Å³ per cell. The relative energy among the computed polymorphs comes out at 0.00 eV per formula unit. The value obtained for the formation energy without anion corrections is -0.18 eV per atom.


# 17
DFT (PBE) results for BeAsPO2 after structural relaxation.

The space group is P4/mmm (No. 123) and the conventional cell measures 3.602, 3.602 and 5.081 Å, with angles of 90.00, 90.00 and 90.00 degrees. The asymmetric unit holds Be at (0.000, 0.000, 0.000), As at (0.500, 0.500, 0.500), P at (0.500, 0.500, 0.000) and O at (0.000, 0.500, 0.500).

As for the volume: 66 Å³ per cell. The relative energy among the computed polymorphs comes out at 0.83 eV per formula unit. The value obtained for the formation energy without anion corrections is -0.02 eV per atom.


# 18
DFT (PBE) results for PaBeAsO6 after structural relaxation.

The space group is P-31c (No. 163) and the conventional cell measures 4.8165, 4.8165 and 9.5953 Å, with angles of 90.00, 90.00 and 120.00 degrees. The asymmetric unit holds Pa at (0.0000, 0.0000, 0.0000), Be at (0.3333, 0.6667, 0.2500), As at (0.3333, 0.6667, 0.7500) and O at (0.0014, 0.3629, 0.6418).

As for the volume: 193 Å³ per cell. The value obtained for the formation energy without anion corrections is -2.35 eV per atom.


# 19
DFT (PBE) results for Be2AsPb2O6 after structural relaxation.

The space group is R-3m (No. 166, hexagonal axes) and the conventional cell measures 5.4198, 5.4198 and 15.8998 Å, with angles of 90.00, 90.00 and 120.00 degrees. The asymmetric unit holds Be at (0.0000, 0.0000, 0.0914), As at (0.0000, 0.0000, 0.5000), Pb at (0.0000, 0.0000, 0.2871) and O at (0.0012, 0.5006, 0.7533).

As for the volume: 404 Å³ per cell. The value obtained for the formation energy without anion corrections is -1.50 eV per atom.


# 20
DFT (PBE) results for BeAsPb2O6 after structural relaxation.

The space group is R-3m (No. 166, hexagonal axes) and the conventional cell measures 5.4422, 5.4422 and 27.0271 Å, with angles of 90.00, 90.00 and 120.00 degrees. The asymmetric unit holds Be at (0.0000, 0.0000, 0.0000), Be at (0.0000, 0.0000, 0.5000), As at (0.0000, 0.0000, 0.0901), Pb at (0.0000, 0.0000, 0.2146), Pb at (0.0000, 0.0000, 0.3747), O at (0.0009, 0.5004, 0.2079) and O at (0.0330, 0.5165, 0.6227).

As for the volume: 693 Å³ per cell. The value obtained for the formation energy without anion corrections is -1.17 eV per atom.